1.
Compound: ZnAsBr2
Source: Alexandria
Functional: GGA-PBE
Structure: optimized geometry

## Properties
The total moment comes out at 0.00 μB/f.u. The calculation puts the energy relative to the lowest polymorph listed for this composition at 2.34 kJ/mol of atoms. As for the total energy: -10.4 eV per cell.

```
ZnAsBr2
1.0
-4.051 1.146 -1.373
-1.779 -2.968 2.769
-1.195 3.199 6.195
As Br Zn
1 2 1
Direct
0.500 0.668 0.538 As
0.000 0.988 0.901 Br
0.500 0.258 0.357 Br
0.000 0.586 0.705 Zn
```

2.
Compound: ZnAsBr2
Source: Alexandria
Functional: GGA-PBE
Structure: optimized geometry

## Properties
The total moment comes out at 0.00 μB/f.u. The calculation puts the energy relative to the lowest polymorph listed for this composition at 23.49 kJ/mol of atoms. As for the total energy: -9.5 eV per cell.

```
ZnAsBr2
1.0
3.819 -0.003 0.000
-2.048 3.224 0.000
0.000 0.000 9.267
As Br Zn
1 2 1
Direct
0.500 0.500 0.718 As
0.000 0.000 0.929 Br
0.500 0.500 0.336 Br
0.000 0.000 0.517 Zn
```

3.
Compound: Zn2AsBr
Source: Alexandria
Functional: GGA-PBE
Structure: optimized geometry

## Properties
The total moment comes out at 0.00 μB/f.u. The calculation puts the energy relative to the lowest polymorph listed for this composition at 56.12 kJ/mol of atoms. As for the total energy: -8.2 eV per cell.

```
Zn2AsBr
1.0
-4.696 -1.335 -1.022
0.437 -3.899 3.080
-1.033 1.788 2.410
As Br Zn
1 1 2
Direct
0.500 0.000 0.500 As
0.000 0.500 0.500 Br
0.000 0.000 0.000 Zn
0.500 0.500 0.000 Zn
```

4.
Compound: Zn2AsBr
Source: Alexandria
Functional: GGA-PBE
Structure: optimized geometry

## Properties
The total moment comes out at 0.00 μB/f.u. The calculation puts the energy relative to the lowest polymorph listed for this composition at 73.84 kJ/mol of atoms. As for the total energy: -7.5 eV per cell.

```
Zn2AsBr
1.0
3.123 0.000 0.000
0.000 4.768 0.000
0.000 0.000 5.568
As Br Zn
1 1 2
Direct
0.500 0.000 0.500 As
0.000 0.500 0.500 Br
0.000 0.000 0.000 Zn
0.500 0.500 0.000 Zn
```

5.
Compound: Zn2AsBr
Source: Alexandria
Functional: GGA-PBE
Structure: optimized geometry

## Properties
The total moment comes out at 0.00 μB/f.u. The calculation puts the energy relative to the lowest polymorph listed for this composition at 20.01 kJ/mol of atoms. As for the total energy: -9.7 eV per cell.

```
Zn2AsBr
1.0
-2.484 -0.792 -6.303
-5.035 -2.486 -3.871
-5.068 1.396 -4.345
As Br Zn
1 1 2
Direct
0.250 0.250 0.250 As
0.750 0.750 0.750 Br
0.981 0.981 0.981 Zn
0.519 0.519 0.519 Zn
```

6.
Compound: ZnAsBr2
Source: Alexandria
Functional: GGA-PBE
Structure: optimized geometry

## Properties
The total moment comes out at 0.00 μB/f.u. The calculation puts the energy relative to the lowest polymorph listed for this composition at 71.25 kJ/mol of atoms. As for the total energy: -7.6 eV per cell.

```
ZnAsBr2
1.0
-0.800 -4.286 2.531
-3.998 -0.423 3.041
-3.837 -3.007 -1.284
As Zn Br
1 1 2
Direct
0.500 0.500 0.500 As
0.000 0.000 0.000 Zn
0.250 0.250 0.250 Br
0.750 0.750 0.750 Br
```

Formation energy (no corrections), record by record: -289; -70; 169; 353; -205; 425 meV/atom
DOS at the Fermi energy, record by record: 1.3; 2.4; 1.4; 1.3; 1.4; 4.2 states/eV/cell